## Ag2HgS (PBE)

Data for a relaxed Ag2HgS crystal.

Cell and atoms, written as POSCAR:
```
Ag2HgS
1.0
-2.844 -2.586 1.523
-0.898 -3.500 -2.009
2.898 -4.818 2.843
Ag Hg S
2 1 1
Cartesian
2.013 -4.222 2.201
-0.362 -2.625 0.480
-0.385 -5.477 1.205
0.367 -8.851 2.492
```

## Properties
E_tot   -2.45 eV per atom
Energy above the lowest structure with this stoichiometry   63 meV/atom
M_tot   0.000 μB/f.u.
E_form (uncorrected)   0.09 eV/atom
Space-group type   R3m, No. 160